Entry 1:
The following is a DFT calculation (GGA-PBE) of a geometry-optimized PrHoBi structure.

Results
Crystal system   cubic
Calculated total energy   -14.46 eV/cell

Unit cell a=5.260 b=5.260 c=5.260 alpha=60.00 beta=60.00 gamma=60.00
Positions (direct):
Pr: 0.000 0.000 0.000
Ho: 0.500 0.500 0.500
Bi: 0.750 0.750 0.750

---

Entry 2:
The following is a DFT calculation (GGA-PBE) of a geometry-optimized PaPb structure.

Results
Crystal system   cubic
Calculated total energy   -12.61 eV/cell

Unit cell a=4.457 b=4.457 c=4.457 alpha=60.00 beta=60.00 gamma=60.00
Positions (direct):
Pa: 0.000 0.000 0.000
Pb: 0.500 0.500 0.500

---

Entry 3:
The following is a DFT calculation (GGA-PBE) of a geometry-optimized AcTlTc structure.

Results
Crystal system   cubic
Calculated total energy   -13.27 eV/cell

Unit cell a=5.182 b=5.182 c=5.182 alpha=60.00 beta=60.00 gamma=60.00
Positions (direct):
Ac: 0.000 0.000 0.000
Tl: 0.250 0.250 0.250
Tc: 0.750 0.750 0.750

---

Entry 4:
The following is a DFT calculation (GGA-PBE) of a geometry-optimized TmFeAu structure.

Results
Crystal system   cubic
Calculated total energy   -15.96 eV/cell
ΔH_f (0 K)   0.03 eV per atom

Unit cell a=4.435 b=4.435 c=4.435 alpha=60.00 beta=60.00 gamma=60.00
Positions (direct):
Tm: 0.000 0.000 0.000
Fe: 0.750 0.750 0.750
Au: 0.500 0.500 0.500

---

Entry 5:
The following is a DFT calculation (GGA-PBE) of a geometry-optimized DyHo2Cu4Si2Ge2 structure.

Results
Crystal system   orthorhombic
Calculated total energy   -55.71 eV/cell

Unit cell a=7.924 b=7.924 c=7.924 alpha=149.48 beta=130.76 gamma=59.05
Positions (direct):
Dy: 0.000 0.000 0.000
Ho: 0.371 0.871 0.500
Ho: 0.629 0.129 0.500
Cu: 0.027 0.336 0.691
Cu: 0.355 0.664 0.691
Cu: 0.645 0.336 0.309
Cu: 0.973 0.664 0.309
Si: 0.317 0.500 0.817
Si: 0.683 0.500 0.183
Ge: 0.217 0.217 0.000
Ge: 0.783 0.783 0.000

---

Entry 6:
The following is a DFT calculation (GGA-PBE) of a geometry-optimized TbDyGeCl2 structure.

Results
Crystal system   trigonal
Calculated total energy   -25.74 eV/cell

Unit cell a=4.086 b=4.086 c=9.646 alpha=90.00 beta=90.00 gamma=120.00
Positions (direct):
Tb: 0.000 0.000 0.000
Dy: 0.667 0.333 0.337
Ge: 0.333 0.667 0.169
Cl: 0.000 0.000 0.497
Cl: 0.667 0.333 0.837

---

Entry 7:
The following is a DFT calculation (GGA-PBE) of a geometry-optimized ZnP4 structure.

Results
Crystal system   tetragonal
Calculated total energy   -93.33 eV/cell

Unit cell a=5.028 b=5.028 c=14.605 alpha=90.00 beta=90.00 gamma=90.00
Positions (direct):
Zn: 0.202 0.202 0.000
Zn: 0.298 0.702 0.250
Zn: 0.702 0.298 0.750
Zn: 0.798 0.798 0.500
P: 0.013 0.907 0.125
P: 0.079 0.677 0.799
P: 0.093 0.987 0.375
P: 0.177 0.421 0.549
P: 0.323 0.921 0.701
P: 0.407 0.487 0.875
P: 0.421 0.177 0.451
P: 0.487 0.407 0.125
P: 0.513 0.593 0.625
P: 0.579 0.823 0.951
P: 0.593 0.513 0.375
P: 0.677 0.079 0.201
P: 0.823 0.579 0.049
P: 0.907 0.013 0.875
P: 0.921 0.323 0.299
P: 0.987 0.093 0.625

---

Entry 8:
The following is a DFT calculation (GGA-PBE) of a geometry-optimized NbCoSiPd structure.

Results
Crystal system   cubic
Calculated total energy   -28.54 eV/cell

Unit cell a=4.336 b=4.336 c=4.336 alpha=60.00 beta=60.00 gamma=60.00
Positions (direct):
Nb: 0.000 0.000 0.000
Co: 0.500 0.500 0.500
Si: 0.250 0.250 0.250
Pd: 0.750 0.750 0.750

---

Entry 9:
The following is a DFT calculation (GGA-PBE) of a geometry-optimized Y3HfTe2C2 structure.

Results
Crystal system   trigonal
Calculated total energy   -60.86 eV/cell

Unit cell a=3.735 b=3.735 c=13.918 alpha=90.00 beta=90.00 gamma=120.00
Positions (direct):
Y: 0.000 0.000 0.000
Y: 0.000 0.000 0.319
Y: 0.333 0.667 0.509
Hf: 0.333 0.667 0.821
Te: 0.000 0.000 0.676
Te: 0.333 0.667 0.158
C: 0.667 0.333 0.416
C: 0.667 0.333 0.895

---

Entry 10:
The following is a DFT calculation (GGA-PBE) of a geometry-optimized ReTcAg2S6 structure.

Results
Crystal system   cubic
Calculated total energy   -49.49 eV/cell

Unit cell a=6.599 b=6.599 c=6.599 alpha=60.00 beta=60.00 gamma=60.00
Positions (direct):
Re: 0.000 0.000 0.000
Tc: 0.500 0.500 0.500
Ag: 0.250 0.250 0.250
Ag: 0.750 0.750 0.750
S: 0.249 0.249 0.751
S: 0.249 0.751 0.249
S: 0.249 0.751 0.751
S: 0.751 0.249 0.249
S: 0.751 0.249 0.751
S: 0.751 0.751 0.249

---

Entry 11:
The following is a DFT calculation (GGA-PBE) of a geometry-optimized ZnN structure.

Results
Crystal system   cubic
Calculated total energy   -7.25 eV/cell

Unit cell a=2.679 b=2.679 c=2.679 alpha=90.00 beta=90.00 gamma=90.00
Positions (direct):
Zn: 0.000 0.000 0.000
N: 0.500 0.500 0.500

---

Entry 12:
The following is a DFT calculation (GGA-PBE) of a geometry-optimized CsPaCu structure.

Results
Crystal system   cubic
Calculated total energy   -9.57 eV/cell

Unit cell a=4.910 b=4.910 c=4.910 alpha=60.00 beta=60.00 gamma=60.00
Positions (direct):
Cs: 0.000 0.000 0.000
Pa: 0.250 0.250 0.250
Cu: 0.500 0.500 0.500